[1]
Entry from Alexandria: a geometry-optimized CaBeHg2 structure (PBE-GGA).

abc: 4.3403 4.3403 6.1259
angles: 69.11 69.11 60.04
With the nearest neighbours (Å) after each atom.
Fractional coordinates of all 4 atoms:
Be 0.7500 0.7500 0.7500  6 Hg 2.64
Ca 0.2500 0.2500 0.2500  6 Hg 3.18-3.19
Hg 0.0335 0.0335 0.8992  3 Be 2.64
Hg 0.4665 0.4665 0.6008  3 Be 2.64

Calculated formation energy in eV per atom: -0.056
Magnetization in Bohr magnetons per cell: 0.00
Crystal system: monoclinic
Raw total energy in eV per atom: -1.639

***

[2]
Entry from Alexandria: a geometry-optimized CaBeHg structure (PBE-GGA).

abc: 4.9066 4.9066 4.9066
angles: 60.00 60.00 60.00
With the nearest neighbours (Å) after each atom.
Fractional coordinates of all 3 atoms:
Be 0.5000 0.5000 0.5000  4 Ca 3.00
Ca 0.2500 0.2500 0.2500  4 Hg 3.00, 4 Be 3.00
Hg 0.0000 0.0000 0.0000  4 Ca 3.00

Calculated formation energy in eV per atom: 0.576
Magnetization in Bohr magnetons per cell: 0.00
Crystal system: cubic
Raw total energy in eV per atom: -1.434

***

[3]
Entry from Alexandria: a geometry-optimized CaBe4Hg structure (PBE-GGA).

abc: 4.9064 4.9064 4.9064
angles: 60.00 60.00 60.00
With the nearest neighbours (Å) after each atom.
Fractional coordinates of all 6 atoms:
Ca 0.7500 0.7500 0.7500  12 Be 2.87, 4 Hg 3.00
Be 0.8628 0.3791 0.3791  6 Be 2.37-2.53
Be 0.3791 0.3791 0.8628  6 Be 2.37-2.53
Be 0.3791 0.8628 0.3791  6 Be 2.37-2.53
Be 0.3791 0.3791 0.3791  6 Be 2.37-2.53
Hg 0.0000 0.0000 0.0000  12 Be 2.89, 4 Ca 3.00

Calculated formation energy in eV per atom: 0.309
Magnetization in Bohr magnetons per cell: 0.00
Crystal system: cubic
Raw total energy in eV per atom: -2.559

***

[4]
Entry from Alexandria: a geometry-optimized CaBe3Hg structure (PBE-GGA).

abc: 4.5262 4.5262 4.5262
angles: 90.00 90.00 90.00
With the nearest neighbours (Å) after each atom.
Fractional coordinates of all 5 atoms:
Be 0.0000 0.5000 0.0000  2 Hg 2.26
Be 0.0000 0.0000 0.5000  2 Hg 2.26
Be 0.5000 0.0000 0.0000  2 Hg 2.26
Ca 0.5000 0.5000 0.5000  12 Be 3.20
Hg 0.0000 0.0000 0.0000  6 Be 2.26

Calculated formation energy in eV per atom: 0.555
Magnetization in Bohr magnetons per cell: 0.00
Crystal system: cubic
Raw total energy in eV per atom: -2.142

***

[5]
Entry from Alexandria: a geometry-optimized CaBeHg2 structure (PBE-GGA).

abc: 5.2836 5.2836 5.2836
angles: 135.11 119.43 78.47
With the nearest neighbours (Å) after each atom.
Fractional coordinates of all 4 atoms:
Be 0.7500 0.2500 0.5000  4 Hg 2.62
Ca 0.2500 0.7500 0.5000  8 Hg 3.15, 4 Be 3.34
Hg 0.9549 0.9549 0.0000  2 Be 2.62
Hg 0.5451 0.5451 0.0000  2 Be 2.62

Calculated formation energy in eV per atom: -0.004
Magnetization in Bohr magnetons per cell: 0.00
Crystal system: orthorhombic
Raw total energy in eV per atom: -1.587

***

[6]
Entry from Alexandria: a geometry-optimized Ca2BeHg2 structure (PBE-GGA).

abc: 7.2818 7.2818 4.7615
angles: 90.00 90.00 90.00
With the nearest neighbours (Å) after each atom.
Fractional coordinates of all 10 atoms:
Be 0.0000 0.0000 0.0000  4 Hg 2.78
Be 0.5000 0.5000 0.0000  4 Hg 2.78
Ca 0.1708 0.6708 0.5000  6 Hg 3.03-3.33
Ca 0.6708 0.8292 0.5000  6 Hg 3.03-3.33
Ca 0.8292 0.3292 0.5000  6 Hg 3.03-3.33
Ca 0.3292 0.1708 0.5000  6 Hg 3.03-3.33
Hg 0.3527 0.8527 0.0000  2 Be 2.78, 2 Ca 3.03, 1 Hg 3.03
Hg 0.8527 0.6473 0.0000  2 Be 2.78, 2 Ca 3.03, 1 Hg 3.03
Hg 0.6473 0.1473 0.0000  2 Be 2.78, 2 Ca 3.03, 1 Hg 3.03
Hg 0.1473 0.3527 0.0000  2 Be 2.78, 2 Ca 3.03, 1 Hg 3.03

Calculated formation energy in eV per atom: -0.081
Magnetization in Bohr magnetons per cell: 0.00
Crystal system: tetragonal
Raw total energy in eV per atom: -1.747

***

[7]
Entry from Alexandria: a geometry-optimized CaBeHg2 structure (PBE-GGA).

abc: 4.5257 4.5724 4.3034
angles: 90.00 90.00 90.00
With the nearest neighbours (Å) after each atom.
Fractional coordinates of all 4 atoms:
Be 0.5000 0.0000 0.5000  8 Hg 3.12-3.14, 4 Ca 3.22
Ca 0.0000 0.5000 0.5000  8 Hg 3.12-3.14, 4 Be 3.22
Hg 0.0000 0.0000 0.0000  4 Be 3.12, 4 Ca 3.14, 4 Hg 3.22
Hg 0.5000 0.5000 0.0000  4 Ca 3.12, 4 Be 3.14, 4 Hg 3.22

Calculated formation energy in eV per atom: 0.103
Magnetization in Bohr magnetons per cell: 0.00
Crystal system: orthorhombic
Raw total energy in eV per atom: -1.480

***

[8]
Entry from Alexandria: a geometry-optimized Ca2BeHg structure (PBE-GGA).

abc: 4.3633 4.5123 5.8469
angles: 67.26 90.00 90.00
With the nearest neighbours (Å) after each atom.
Fractional coordinates of all 4 atoms:
Be 0.5000 0.5726 0.7289  2 Hg 2.46
Ca 0.0000 0.9780 0.9190  3 Hg 3.12-3.23, 4 Be 3.30
Ca 0.5000 0.2707 0.3338  3 Be 3.10-3.26, 4 Hg 3.29
Hg 0.0000 0.6787 0.5182  2 Be 2.46

Calculated formation energy in eV per atom: -0.096
Magnetization in Bohr magnetons per cell: 0.00
Crystal system: orthorhombic
Raw total energy in eV per atom: -2.103